# Ho2FeSiC (PBE-GGA, optimized geometry)
# Size of the total moment = 3.371 μB/cell
# E_form (uncorrected) = -2.1 eV/f.u.
# Volume = 173 Å³ per cell
# DOS at the Fermi energy = 0.5383 states/eV per atom
# E_tot = -6.883 eV/atom
data_Ho2FeSiC
_chemical_formula_sum 'Ho4 Fe2 Si2 C2'
_symmetry_space_group_name_H-M 'P 1'
_symmetry_Int_Tables_number 1
_cell_length_a 3.678
_cell_length_b 3.678
_cell_length_c 12.769
_cell_angle_alpha 90.00
_cell_angle_beta 90.00
_cell_angle_gamma 90.00
loop_
_symmetry_equiv_pos_as_xyz
'x,y,z'
loop_
_atom_site_label
_atom_site_type_symbol
_atom_site_fract_x
_atom_site_fract_y
_atom_site_fract_z
Ho1 Ho 0.500 0.000 0.290
Ho2 Ho 0.000 0.500 0.092
Ho3 Ho 0.500 0.000 0.908
Ho4 Ho 0.000 0.500 0.710
C1 C 0.000 0.500 0.896
Fe1 Fe 0.500 0.500 0.500
C2 C 0.500 0.000 0.104
Si1 Si 0.000 0.500 0.386
Fe2 Fe 0.000 0.000 0.500
Si2 Si 0.500 0.000 0.614